VASP calculation (PBE) on a relaxed structure of SrPa2ZnN5.

## Properties
Its total energy is -8.10 eV per atom. The formation energy (no corrections) comes out at -1.040 eV/atom.

abc: 6.642 6.642 11.494
angles: 90.00 90.00 90.00
Space group I4/mcm (No. 140)
Unique sites:
Sr 0.000 0.000 0.250 x4
Pa 0.173 0.327 0.000 x8
Zn 0.000 0.500 0.250 x4
N 0.000 0.000 0.000 x4
N 0.151 0.349 0.376 x16